Record 1
## Mg2TaInGe (meta-GGA SCAN)

Data for a crystal of Mg2TaInGe relaxed with PBEsol.

```
Mg2TaInGe
1.0
-2.0581 -3.8880 -1.8802
2.4017 0.7006 -4.0778
3.9162 -2.9439 1.8008
Ge Ta In Mg
1 1 1 2
direct
0.0000 0.0000 0.0000 Ge
0.5000 0.5000 0.5000 Ta
0.0000 0.0000 0.5000 In
0.5000 0.0000 0.0000 Mg
0.0000 0.5000 0.0000 Mg
```

Output
As for the crystal system: tetragonal. The value obtained for the total DFT energy (no corrections) is -123.68 eV per cell. The energy of formation from the pure elements comes out at 1.06 eV/atom. Its density is 5.80 g/cm3. As for the space group: P4/mmm.

***

Record 2
## YInGeMo2 (meta-GGA SCAN)

Data for a crystal of YInGeMo2 relaxed with PBEsol.

```
YInGeMo2
1.0
4.9787 0.0000 0.0000
0.0000 4.9787 0.0000
0.0000 0.0000 5.3676
Mo Y In Ge
2 1 1 1
direct
0.0000 0.5000 0.0000 Mo
0.5000 0.0000 0.0000 Mo
0.0000 0.0000 0.5000 Y
0.0000 0.0000 0.0000 In
0.5000 0.5000 0.5000 Ge
```

Output
As for the crystal system: tetragonal. The value obtained for the total DFT energy (no corrections) is -142.21 eV per cell. The energy of formation from the pure elements comes out at 1.58 eV/atom. Its density is 5.84 g/cm3. As for the space group: P4/mmm.

***

Record 3
## NbIn3Ge (meta-GGA SCAN)

Data for a crystal of NbIn3Ge relaxed with PBEsol.

```
NbIn3Ge
1.0
5.1278 0.0000 0.0000
0.0000 5.1278 0.0000
0.0000 0.0000 5.1278
Ge In Nb
1 3 1
direct
0.0000 0.0000 0.0000 Ge
0.5000 0.0000 0.0000 In
0.0000 0.0000 0.5000 In
0.0000 0.5000 0.0000 In
0.5000 0.5000 0.5000 Nb
```

Output
As for the crystal system: cubic. The value obtained for the total DFT energy (no corrections) is -147.30 eV per cell. The energy of formation from the pure elements comes out at 1.02 eV/atom. Its density is 6.28 g/cm3. As for the space group: Pm-3m.

***

> Look up the total DFT energy (no corrections) of the third one.

-147.30 eV per cell